(1)
Below is crystalline Pr2PbBr8 at its relaxed geometry, with properties calculated at the GGA-PBE level.

Cell: 11.826 11.826 8.417 Å, 97.51 97.51 20.64°
Fractional coordinates of all 11 atoms:
Pr 0.160 0.160 0.339
Pr 0.840 0.840 0.661
Pb 0.500 0.500 0.000
Br 0.023 0.023 0.259
Br 0.244 0.244 0.671
Br 0.367 0.367 0.934
Br 0.382 0.382 0.464
Br 0.618 0.618 0.536
Br 0.633 0.633 0.066
Br 0.756 0.756 0.329
Br 0.977 0.977 0.741

Summary:
**Total energy**: -4.03 eV per atom
**Fermi-level density of states**: 0.000 states/eV per cell
**ΔE_f (raw)**: -155 kJ per mole of atoms


(2)
Below is crystalline Pr2PbBr at its relaxed geometry, with properties calculated at the GGA-PBE level.

Cell: 5.525 5.525 5.525 Å, 60.00 60.00 60.00°
Fractional coordinates of all 4 atoms:
Pr 0.250 0.250 0.250
Pr 0.750 0.750 0.750
Pb 0.000 0.000 0.000
Br 0.500 0.500 0.500

Summary:
**Total energy**: -4.54 eV per atom
**Fermi-level density of states**: 3.020 states/eV per cell
**E above lowest polymorph**: 1.54 kJ per mole of atoms
**ΔE_f (raw)**: -78 kJ per mole of atoms


(3)
Below is crystalline RbPrPbBr6 at its relaxed geometry, with properties calculated at the GGA-PBE level.

Cell: 7.814 7.814 14.903 Å, 90.00 90.00 120.00°
Fractional coordinates of all 18 atoms:
Rb 0.000 0.000 0.000
Rb 0.000 0.000 0.500
Pr 0.333 0.667 0.250
Pr 0.667 0.333 0.750
Pb 0.333 0.667 0.750
Pb 0.667 0.333 0.250
Br 0.012 0.377 0.136
Br 0.012 0.635 0.364
Br 0.365 0.377 0.364
Br 0.365 0.988 0.136
Br 0.377 0.012 0.636
Br 0.377 0.365 0.864
Br 0.623 0.635 0.136
Br 0.623 0.988 0.364
Br 0.635 0.012 0.864
Br 0.635 0.623 0.636
Br 0.988 0.365 0.636
Br 0.988 0.623 0.864

Summary:
**Total energy**: -3.72 eV per atom
**Fermi-level density of states**: 0.000 states/eV per cell
**ΔE_f (raw)**: -150 kJ per mole of atoms


(4)
Below is crystalline RbPrPb2Br8 at its relaxed geometry, with properties calculated at the GGA-PBE level.

Cell: 6.983 7.350 9.446 Å, 89.97 89.94 89.15°
Fractional coordinates of all 12 atoms:
Rb 0.000 0.000 0.000
Pr 0.000 0.000 0.500
Pb 0.500 0.500 0.247
Pb 0.500 0.500 0.753
Br 0.247 0.327 0.500
Br 0.247 0.842 0.281
Br 0.247 0.842 0.719
Br 0.270 0.376 0.000
Br 0.730 0.624 0.000
Br 0.753 0.158 0.281
Br 0.753 0.158 0.719
Br 0.753 0.673 0.500

Summary:
**Total energy**: -3.57 eV per atom
**Fermi-level density of states**: 0.000 states/eV per cell
**ΔE_f (raw)**: -131 kJ per mole of atoms


(5)
Below is crystalline Pr3SbPbBr at its relaxed geometry, with properties calculated at the GGA-PBE level.

Cell: 7.873 4.449 11.767 Å, 90.00 102.31 90.00°
Fractional coordinates of all 12 atoms:
Pr 0.045 0.250 0.169
Pr 0.214 0.750 0.501
Pr 0.446 0.750 0.843
Pr 0.554 0.250 0.157
Pr 0.786 0.250 0.499
Pr 0.955 0.750 0.831
Sb 0.264 0.750 0.061
Sb 0.736 0.250 0.939
Pb 0.153 0.250 0.692
Pb 0.847 0.750 0.308
Br 0.378 0.250 0.374
Br 0.622 0.750 0.626

Summary:
**Total energy**: -4.99 eV per atom
**Fermi-level density of states**: 7.120 states/eV per cell
**ΔE_f (raw)**: -98 kJ per mole of atoms


(6)
Below is crystalline Pr6Si2PbBr3 at its relaxed geometry, with properties calculated at the GGA-PBE level.

Cell: 9.968 9.968 8.961 Å, 103.47 103.47 25.38°
Fractional coordinates of all 12 atoms:
Pr 0.015 0.015 0.256
Pr 0.324 0.324 0.431
Pr 0.332 0.332 0.876
Pr 0.668 0.668 0.124
Pr 0.676 0.676 0.569
Pr 0.985 0.985 0.744
Si 0.168 0.168 0.342
Si 0.832 0.832 0.658
Pb 0.500 0.500 0.000
Br 0.165 0.165 0.836
Br 0.500 0.500 0.500
Br 0.835 0.835 0.164

Summary:
**Total energy**: -5.04 eV per atom
**Fermi-level density of states**: 5.473 states/eV per cell
**ΔE_f (raw)**: -98 kJ per mole of atoms


(7)
Below is crystalline Pr3TePbBr at its relaxed geometry, with properties calculated at the GGA-PBE level.

Cell: 9.389 4.409 10.585 Å, 90.00 91.13 90.00°
Fractional coordinates of all 12 atoms:
Pr 0.123 0.250 0.341
Pr 0.153 0.250 0.937
Pr 0.376 0.750 0.641
Pr 0.624 0.250 0.359
Pr 0.847 0.750 0.063
Pr 0.877 0.750 0.659
Te 0.374 0.750 0.333
Te 0.626 0.250 0.667
Pb 0.126 0.250 0.644
Pb 0.874 0.750 0.356
Br 0.368 0.750 0.930
Br 0.632 0.250 0.070

Summary:
**Total energy**: -4.77 eV per atom
**Fermi-level density of states**: 6.286 states/eV per cell
**ΔE_f (raw)**: -93 kJ per mole of atoms


(8)
Below is crystalline PtPbBr2 at its relaxed geometry, with properties calculated at the GGA-PBE level.

Cell: 4.085 4.099 7.538 Å, 90.00 105.50 90.00°
Fractional coordinates of all 4 atoms:
Pt 0.000 0.000 0.000
Pb 0.448 0.500 0.894
Br 0.118 0.500 0.239
Br 0.829 0.000 0.653

Summary:
**Total energy**: -3.57 eV per atom
**Fermi-level density of states**: 1.300 states/eV per cell
**E above lowest polymorph**: 0.00 kJ per mole of atoms
**ΔE_f (raw)**: -28 kJ per mole of atoms


What did the third record say?
Below is crystalline RbPrPbBr6 at its relaxed geometry, with properties calculated at the GGA-PBE level.

Cell: 7.814 7.814 14.903 Å, 90.00 90.00 120.00°
Fractional coordinates of all 18 atoms:
Rb 0.000 0.000 0.000
Rb 0.000 0.000 0.500
Pr 0.333 0.667 0.250
Pr 0.667 0.333 0.750
Pb 0.333 0.667 0.750
Pb 0.667 0.333 0.250
Br 0.012 0.377 0.136
Br 0.012 0.635 0.364
Br 0.365 0.377 0.364
Br 0.365 0.988 0.136
Br 0.377 0.012 0.636
Br 0.377 0.365 0.864
Br 0.623 0.635 0.136
Br 0.623 0.988 0.364
Br 0.635 0.012 0.864
Br 0.635 0.623 0.636
Br 0.988 0.365 0.636
Br 0.988 0.623 0.864

Summary:
**Total energy**: -3.72 eV per atom
**Fermi-level density of states**: 0.000 states/eV per cell
**ΔE_f (raw)**: -150 kJ per mole of atoms